Rb3Pr2TlO6: optimized geometry, PBE-GGA.

The crystal system is monoclinic. As for the magnetic moment: 0.00 μB per formula unit. Its total energy is -136.58 eV for the cell shown. The formation energy from raw total energies is -23.712 eV/f.u.

Lattice parameters (Å, degrees): 6.3170 10.9370 6.9466 90.00 107.58 90.00
Closest atoms and distances in Å follow each position.
Space group C2/m (No. 12)
Inequivalent atoms, fractional coordinates:
Rb1 0.0000 0.0000 0.0000  6 O 2.95-2.96
Rb2 0.0000 0.3375 0.0000  6 O 2.93-3.00
Pr1 0.0000 0.1669 0.5000  6 O 2.44-2.45
Tl1 0.0000 0.5000 0.5000  6 O 2.43
O1 0.2276 0.3344 0.6864  1 Tl 2.43, 2 Pr 2.44-2.45
O2 0.2304 0.0000 0.6862  1 Tl 2.43, 2 Pr 2.45

***

RbPrTlO3: optimized geometry, PBE-GGA.

The crystal system is monoclinic. As for the magnetic moment: 0.00 μB per formula unit. Its total energy is -67.96 eV for the cell shown. The formation energy from raw total energies is -10.990 eV/f.u.

Lattice parameters (Å, degrees): 7.1230 3.6526 11.0568 90.00 106.26 90.00
Closest atoms and distances in Å follow each position.
Space group P2_1/m (No. 11)
Inequivalent atoms, fractional coordinates:
Rb1 0.2473 0.2500 0.2443  5 O 2.84-3.04
Pr1 0.3277 0.7500 0.8750  6 O 2.34-2.55
Tl1 0.1506 0.2500 0.5985  3 O 2.25-2.29
O1 0.0971 0.2500 0.7932  1 Tl 2.29, 2 Pr 2.45
O2 0.3412 0.7500 0.6472  2 Tl 2.25
O3 0.4414 0.7500 0.0949  3 Pr 2.34-2.42

***

Rb2PrTmO4: optimized geometry, PBE-GGA.

The crystal system is monoclinic. As for the magnetic moment: 0.00 μB per formula unit. Its total energy is -51.93 eV for the cell shown. The formation energy from raw total energies is -20.912 eV/f.u.

Lattice parameters (Å, degrees): 6.2014 3.5798 6.8984 90.00 107.36 90.00
Closest atoms and distances in Å follow each position.
Space group P2/m (No. 10)
Inequivalent atoms, fractional coordinates:
Rb1 0.0000 0.0000 0.0000  6 O 3.00-3.02
Rb2 0.5000 0.5000 0.0000  6 O 2.91-2.93
Pr1 0.0000 0.5000 0.5000  6 O 2.42-2.44
Tm1 0.5000 0.0000 0.5000  6 O 2.29-2.34
O1 0.2418 0.0000 0.6786  1 Tm 2.29, 2 Pr 2.42
O2 0.2877 0.5000 0.3241  2 Tm 2.34, 1 Pr 2.44

***

Rb3Pr2TmO6: optimized geometry, PBE-GGA.

The crystal system is monoclinic. As for the magnetic moment: 0.00 μB per formula unit. Its total energy is -155.46 eV for the cell shown. The formation energy from raw total energies is -31.049 eV/f.u.

Lattice parameters (Å, degrees): 6.2702 10.8638 6.9181 90.00 107.55 90.00
Closest atoms and distances in Å follow each position.
Space group C2/m (No. 12)
Inequivalent atoms, fractional coordinates:
Rb1 0.0000 0.0000 0.0000  6 O 2.94-3.05
Rb2 0.0000 0.3355 0.0000  6 O 2.93-3.06
Pr1 0.0000 0.1667 0.5000  6 O 2.44-2.45
Tm1 0.0000 0.5000 0.5000  6 O 2.31
O1 0.2181 0.3415 0.6786  1 Tm 2.31, 2 Pr 2.44-2.45
O2 0.2423 0.0000 0.6786  1 Tm 2.31, 2 Pr 2.45

***

Rb3PrU2O9: optimized geometry, PBE-GGA.

The crystal system is trigonal. As for the magnetic moment: 0.00 μB per formula unit. Its total energy is -117.39 eV for the cell shown. The formation energy from raw total energies is -42.508 eV/f.u.

Lattice parameters (Å, degrees): 6.2518 6.2518 7.6595 90.00 90.00 120.00
Closest atoms and distances in Å follow each position.
Space group P-3m1 (No. 164)
Inequivalent atoms, fractional coordinates:
Rb1 0.0000 0.0000 0.0000  12 O 3.09-3.13
Rb2 0.3333 0.6667 0.6632  12 O 3.13-3.15
Pr1 0.0000 0.0000 0.5000  6 O 2.40
U1 0.3333 0.6667 0.1613  6 O 2.04-2.19
O1 0.0000 0.5000 0.0000  2 U 2.19
O2 0.1791 0.3582 0.3149  1 U 2.04

***

Rb2PrU3O12: optimized geometry, PBE-GGA.

The crystal system is trigonal. As for the magnetic moment: 0.00 μB per formula unit. Its total energy is -454.52 eV for the cell shown. The formation energy from raw total energies is -51.428 eV/f.u.

Lattice parameters (Å, degrees): 8.1584 8.1584 19.0780 90.00 90.00 120.00
Closest atoms and distances in Å follow each position.
Space group R-3m (No. 166, hexagonal axes)
Inequivalent atoms, fractional coordinates:
Rb1 0.0000 0.0000 0.1368  3 O 3.19
Pr1 0.0000 0.0000 0.5000  6 O 2.40
U1 0.0000 0.5000 0.0000  6 O 1.98-2.13
O1 0.0408 0.5204 0.1025  1 U 1.98
O2 0.0851 0.5426 0.3439  2 U 2.13

***

Rb4PrU3O12: optimized geometry, PBE-GGA.

The crystal system is cubic. As for the magnetic moment: 1.00 μB per formula unit. Its total energy is -318.58 eV for the cell shown. The formation energy from raw total energies is -57.278 eV/f.u.

Lattice parameters (Å, degrees): 8.8082 8.8082 8.8082 90.00 90.00 90.00
Closest atoms and distances in Å follow each position.
Space group Im-3m (No. 229)
Inequivalent atoms, fractional coordinates:
Rb1 0.2500 0.2500 0.2500  12 O 3.11-3.12
Pr1 0.0000 0.0000 0.0000  6 O 2.39
U1 0.0000 0.0000 0.5000  6 O 2.01-2.20
O1 0.0000 0.0000 0.2714  1 U 2.01
O2 0.0000 0.2500 0.5000  2 U 2.20

***

Rb2PrUO6: optimized geometry, PBE-GGA.

The crystal system is cubic. As for the magnetic moment: 0.85 μB per formula unit. Its total energy is -295.24 eV for the cell shown. The formation energy from raw total energies is -26.058 eV/f.u.

Lattice parameters (Å, degrees): 8.9415 8.9415 8.9415 90.00 90.00 90.00
Closest atoms and distances in Å follow each position.
Space group Fm-3m (No. 225)
Inequivalent atoms, fractional coordinates:
Rb1 0.2500 0.2500 0.2500  12 O 3.17
Pr1 0.0000 0.0000 0.0000  6 O 2.39
U1 0.0000 0.0000 0.5000  6 O 2.08
O1 0.0000 0.0000 0.2676  1 U 2.08

***

Please write out number 4 again, unchanged.
Rb3Pr2TmO6: optimized geometry, PBE-GGA.

The crystal system is monoclinic. As for the magnetic moment: 0.00 μB per formula unit. Its total energy is -155.46 eV for the cell shown. The formation energy from raw total energies is -31.049 eV/f.u.

Lattice parameters (Å, degrees): 6.2702 10.8638 6.9181 90.00 107.55 90.00
Closest atoms and distances in Å follow each position.
Space group C2/m (No. 12)
Inequivalent atoms, fractional coordinates:
Rb1 0.0000 0.0000 0.0000  6 O 2.94-3.05
Rb2 0.0000 0.3355 0.0000  6 O 2.93-3.06
Pr1 0.0000 0.1667 0.5000  6 O 2.44-2.45
Tm1 0.0000 0.5000 0.5000  6 O 2.31
O1 0.2181 0.3415 0.6786  1 Tm 2.31, 2 Pr 2.44-2.45
O2 0.2423 0.0000 0.6786  1 Tm 2.31, 2 Pr 2.45